Here is a geometry-optimized CdTc2P structure from Alexandria. Energies are from PBE.

Theoretical density   9.49 Mg/m³
Distance to the lowest polymorph of the same formula   463 meV per atom
Energy relative to the elements   0.393 eV per atom
Raw total energy   -25.48 eV/cell
SG   Fm-3m, No. 225

Lattice parameters (Å, degrees): 4.3798 4.3798 4.3798 60.00 60.00 60.00
Element x y z (fractional)
Cd  0.0000  0.0000  0.0000
Tc  0.2500  0.2500  0.2500
Tc  0.7500  0.7500  0.7500
P  0.5000  0.5000  0.5000